# meta-GGA SCAN BaCr2P, single point on PBEsol structure
# spin magnetization: 0.7 μB/f.u.
# energy of formation from the pure elements: -0.325 eV per atom
# energy: -264.06 eV/cell
# crystal system: trigonal
data_BaCr2P
_symmetry_space_group_name_H-M 'R 3 m'
_symmetry_Int_Tables_number 160
_symmetry_space_group_name_Hall 'R 3 -2"'
_cell_length_a 4.0780
_cell_length_b 4.0780
_cell_length_c 17.5401
_cell_angle_alpha 90.00
_cell_angle_beta 90.00
_cell_angle_gamma 120.00
loop_
_atom_site_label
_atom_site_type_symbol
_atom_site_fract_x
_atom_site_fract_y
_atom_site_fract_z
Ba1 Ba 0.0000 0.0000 0.0000
Cr1 Cr 0.0000 0.0000 0.1905
Cr2 Cr 0.0000 0.0000 0.5001
P1 P 0.0000 0.0000 0.8156